CeVTe2: relaxed, GGA-PBE.

Cell lengths 10.1498, 10.1498, 10.1498 Å; angles 20.07, 20.07, 20.07 degrees
Last column: nearest neighbours and their distance in Å.
Sites, in units of the cell vectors:
1 Ce 0.0000 0.0000 0.0000  2 Te 3.22, 6 Ce 3.54
2 V 0.5000 0.5000 0.5000  6 Te 2.69
3 Te 0.1080 0.1080 0.1080  3 V 2.69
4 Te 0.8920 0.8920 0.8920  3 V 2.69

## Properties
Raw formation energy: -182 meV/atom

=====

YS2Br: relaxed, GGA-PBE.

Cell lengths 9.0516, 9.0516, 9.0516 Å; angles 24.45, 24.45, 24.45 degrees
Last column: nearest neighbours and their distance in Å.
Sites, in units of the cell vectors:
1 Y 0.0000 0.0000 0.0000  2 S 2.50
2 S 0.0950 0.0950 0.0950  1 Y 2.50
3 S 0.9050 0.9050 0.9050  1 Y 2.50
4 Br 0.5000 0.5000 0.5000  6 S 2.91

## Properties
Energy above the most stable polymorph in this dataset: 1.596 eV/atom
Raw formation energy: 396 meV/atom

=====

SrMn2Co: relaxed, GGA-PBE.

Cell lengths 8.4386, 8.4386, 8.4386 Å; angles 145.73, 145.73, 49.25 degrees
Last column: nearest neighbours and their distance in Å.
Sites, in units of the cell vectors:
1 Sr 0.3750 0.6250 0.7500  8 Mn 3.38, 4 Co 3.52
2 Sr 0.6250 0.3750 0.2500  8 Mn 3.38, 4 Co 3.52
3 Mn 0.0000 0.0000 0.0000  2 Co 2.29, 2 Mn 2.49
4 Mn 0.0000 0.0000 0.5000  2 Co 2.29, 2 Mn 2.49
5 Mn 0.0000 0.5000 0.0000  2 Co 2.29, 2 Mn 2.49
6 Mn 0.5000 0.0000 0.5000  2 Co 2.29, 2 Mn 2.49
7 Co 0.1250 0.8750 0.2500  4 Mn 2.29
8 Co 0.8750 0.1250 0.7500  4 Mn 2.29

## Properties
Energy above the most stable polymorph in this dataset: 0.473 eV/atom

=====

Ba2InSe4: relaxed, GGA-PBE.

Cell lengths 7.9274, 6.3338, 9.5757 Å; angles 90.00, 107.69, 90.00 degrees
Last column: nearest neighbours and their distance in Å.
Sites, in units of the cell vectors:
1 Ba 0.2298 0.2500 0.4391  8 Se 3.35-3.48
2 Ba 0.2578 0.2500 0.9339  8 Se 3.33-3.46, 1 In 3.73
3 Ba 0.7422 0.7500 0.0661  8 Se 3.33-3.46, 1 In 3.73
4 Ba 0.7702 0.7500 0.5609  8 Se 3.35-3.48
5 In 0.2355 0.7500 0.1842  4 Se 2.57-2.65
6 In 0.7645 0.2500 0.8158  4 Se 2.57-2.65
7 Se 0.0717 0.7500 0.3797  1 In 2.58
8 Se 0.0789 0.7500 0.9071  1 In 2.57
9 Se 0.4957 0.5199 0.7411  1 In 2.65, 1 Se 2.91
10 Se 0.4957 0.9801 0.7411  1 In 2.65, 1 Se 2.91
11 Se 0.5043 0.0199 0.2589  1 In 2.65, 1 Se 2.91
12 Se 0.5043 0.4801 0.2589  1 In 2.65, 1 Se 2.91
13 Se 0.9211 0.2500 0.0929  1 In 2.57
14 Se 0.9283 0.2500 0.6203  1 In 2.58

## Properties
Raw formation energy: -1352 meV/atom

=====

ErB2C2: relaxed, GGA-PBE.

Cell lengths 3.7875, 3.7875, 7.0960 Å; angles 90.00, 90.00, 90.00 degrees
Last column: nearest neighbours and their distance in Å.
Sites, in units of the cell vectors:
1 Er 0.0000 0.0000 0.2500  8 C 2.69, 8 B 2.72
2 Er 0.0000 0.0000 0.7500  8 C 2.69, 8 B 2.72
3 B 0.2151 0.5000 0.0000  2 C 1.60, 1 B 1.63
4 B 0.5000 0.2151 0.5000  2 C 1.60, 1 B 1.63
5 B 0.5000 0.7849 0.5000  2 C 1.60, 1 B 1.63
6 B 0.7849 0.5000 0.0000  2 C 1.60, 1 B 1.63
7 C 0.1878 0.5000 0.5000  1 C 1.42
8 C 0.5000 0.1878 0.0000  1 C 1.42
9 C 0.5000 0.8122 0.0000  1 C 1.42
10 C 0.8122 0.5000 0.5000  1 C 1.42

## Properties
Final energy: -75.7 eV/cell

=====

Cs3Cr2Cl6: relaxed, GGA-PBE.

Cell lengths 14.6834, 14.6834, 14.6834 Å; angles 160.35, 160.35, 27.93 degrees
Last column: nearest neighbours and their distance in Å.
Sites, in units of the cell vectors:
1 Cs 0.0000 0.0000 0.0000  8 Cl 3.54
2 Cs 0.1826 0.1826 0.0000  9 Cl 3.55-3.69
3 Cs 0.8174 0.8174 0.0000  9 Cl 3.55-3.69
4 Cr 0.3976 0.3976 0.0000  5 Cl 2.54-2.56
5 Cr 0.6024 0.6024 0.0000  5 Cl 2.54-2.56
6 Cl 0.0876 0.5876 0.5000  2 Cr 2.54
7 Cl 0.3077 0.3077 0.0000  1 Cr 2.56
8 Cl 0.4124 0.9124 0.5000  2 Cr 2.54
9 Cl 0.5876 0.0876 0.5000  2 Cr 2.54
10 Cl 0.6923 0.6923 0.0000  1 Cr 2.56
11 Cl 0.9124 0.4124 0.5000  2 Cr 2.54

## Properties
Raw formation energy: -1401 meV/atom

=====

Ba2InPb: relaxed, GGA-PBE.

Cell lengths 4.1426, 4.5642, 8.3803 Å; angles 90.00, 90.00, 90.00 degrees
Last column: nearest neighbours and their distance in Å.
Sites, in units of the cell vectors:
1 Ba 0.0000 0.0000 0.2473  4 Pb 3.71, 4 In 3.74, 3 Ba 4.14
2 Ba 0.0000 0.0000 0.7527  4 Pb 3.71, 4 In 3.74, 3 Ba 4.14
3 In 0.5000 0.5000 0.5000  8 Ba 3.74, 2 In 4.14
4 Pb 0.5000 0.5000 0.0000  8 Ba 3.71, 2 Pb 4.14

## Properties
Energy above the most stable polymorph in this dataset: 0.065 eV/atom

=====

Ti2MoPAu: relaxed, GGA-PBE.

Cell lengths 4.6054, 4.6054, 5.0993 Å; angles 90.00, 90.00, 90.00 degrees
Last column: nearest neighbours and their distance in Å.
Sites, in units of the cell vectors:
1 Ti 0.0000 0.5000 0.0000  2 Mo 2.30
2 Ti 0.5000 0.0000 0.0000  2 Mo 2.30
3 Mo 0.0000 0.0000 0.0000  4 Ti 2.30, 2 Au 2.55
4 P 0.5000 0.5000 0.5000  4 Au 3.26, 8 Ti 3.44
5 Au 0.0000 0.0000 0.5000  2 Mo 2.55

## Properties
Final energy: -30.0 eV/cell

=====

Number 1: total magnetic moment 2.1 μB/f.u.. Number 2: total magnetic moment 0.0 μB/f.u.. Number 3: total magnetic moment 6.8 μB/f.u.. Number 4: total magnetic moment 0.0 μB/f.u.. Number 5: total magnetic moment 0.0 μB/f.u.. Number 6: total magnetic moment 9.0 μB/f.u.. Number 7: total magnetic moment 0.0 μB/f.u.. Number 8: total magnetic moment 0.0 μB/f.u..